No. 1
Here is an optimized crystal structure of LiCePr2Se5 from Alexandria via LeMat-Bulk. Energies are from PBE-GGA. Values from VASP.

```
&SYSTEM
  ibrav = 0, nat = 18, ntyp = 4
/
ATOMIC_SPECIES
Se 78.96 Se.upf
Li 6.94 Li.upf
Ce 140.12 Ce.upf
Pr 140.91 Pr.upf
ATOMIC_POSITIONS crystal
Se 0.309 0.618 0.340
Li 0.485 0.970 0.480
Ce 0.803 0.605 0.502
Se 0.499 0.998 0.284
Se 0.289 0.578 0.664
Se 0.955 0.909 0.573
Se 0.501 0.002 0.784
Pr 0.110 0.219 0.685
Li 0.515 0.030 0.980
Se 0.711 0.422 0.164
Se 0.365 0.729 0.998
Se 0.635 0.271 0.498
Se 0.691 0.382 0.840
Pr 0.890 0.781 0.185
Ce 0.197 0.395 0.002
Pr 0.124 0.247 0.299
Se 0.045 0.091 0.073
Pr 0.876 0.753 0.799
CELL_PARAMETERS angstrom
-2.537 -3.347 -0.124
4.108 -0.772 7.959
-9.181 6.758 5.394
```

Calculated values
The magnetic moment is 0.10 μB per atom. The value obtained for the mass density is 5.906 g/cm³. The uncorrected formation energy is -1.72 eV per atom. The total energy comes out at -50.338 eV per formula unit.

***

No. 2
Here is an optimized crystal structure of DyPu2ScSb4 from Alexandria via LeMat-Bulk. Energies are from PBE-GGA. Values from VASP.

```
&SYSTEM
  ibrav = 0, nat = 8, ntyp = 4
/
ATOMIC_SPECIES
Sc 44.96 Sc.upf
Pu 244.00 Pu.upf
Dy 162.50 Dy.upf
Sb 121.76 Sb.upf
ATOMIC_POSITIONS crystal
Sc 0.000 0.000 0.000
Pu 0.500 0.000 0.500
Dy 0.500 0.500 0.000
Pu 0.000 0.500 0.500
Sb 0.500 0.761 0.761
Sb 0.500 0.239 0.239
Sb 0.000 0.755 0.244
Sb 0.000 0.245 0.756
CELL_PARAMETERS angstrom
-3.730 0.821 2.105
3.459 -1.218 6.604
0.563 7.260 -1.835
```

Calculated values
The magnetic moment is 1.26 μB per atom. The value obtained for the mass density is 8.426 g/cm³. The uncorrected formation energy is -0.81 eV per atom. The total energy comes out at -62.528 eV per formula unit.

***

No. 3
Here is an optimized crystal structure of Na2Ag2Au from Alexandria via LeMat-Bulk. Energies are from PBE-GGA. Values from VASP.

```
&SYSTEM
  ibrav = 0, nat = 10, ntyp = 3
/
ATOMIC_SPECIES
Ag 107.87 Ag.upf
Na 22.99 Na.upf
Au 196.97 Au.upf
ATOMIC_POSITIONS crystal
Ag 0.864 0.636 0.000
Ag 0.364 0.864 0.000
Na 0.174 0.674 0.500
Au 0.500 0.500 0.000
Na 0.826 0.326 0.500
Na 0.326 0.174 0.500
Na 0.674 0.826 0.500
Ag 0.136 0.364 0.000
Au 0.000 0.000 0.000
Ag 0.636 0.136 0.000
CELL_PARAMETERS angstrom
-1.735 -1.179 -6.819
-5.926 -3.378 2.092
-2.256 3.896 -0.100
```

Calculated values
The magnetic moment is 0.00 μB per atom. The energy relative to the elements comes out at -0.072 eV per atom. The value obtained for the mass density is 6.646 g/cm³. The total energy comes out at -11.976 eV per formula unit. The distance to the lowest polymorph of the same formula is 40 meV per atom.

***

No. 4
Here is an optimized crystal structure of LiOs3Pb from Alexandria via LeMat-Bulk. Energies are from PBE-GGA. Values from VASP.

```
&SYSTEM
  ibrav = 0, nat = 5, ntyp = 3
/
ATOMIC_SPECIES
Os 190.23 Os.upf
Pb 207.20 Pb.upf
Li 6.94 Li.upf
ATOMIC_POSITIONS crystal
Os 0.000 0.500 0.000
Os 0.000 0.000 0.500
Pb 0.000 0.000 0.000
Os 0.500 0.000 0.000
Li 0.500 0.500 0.500
CELL_PARAMETERS angstrom
5.042 0.000 0.000
0.000 5.042 0.000
0.000 0.000 5.042
```

Calculated values
The magnetic moment is 0.98 μB per atom. The energy relative to the elements comes out at 2.875 eV per atom. The value obtained for the mass density is 10.168 g/cm³. The total energy comes out at -24.934 eV per formula unit. The distance to the lowest polymorph of the same formula is 1334 meV per atom.

***

No. 5
Here is an optimized crystal structure of Zn2IrRu from Alexandria via LeMat-Bulk. Energies are from PBE-GGA. Values from VASP.

```
&SYSTEM
  ibrav = 0, nat = 4, ntyp = 3
/
ATOMIC_SPECIES
Ir 192.22 Ir.upf
Ru 101.07 Ru.upf
Zn 65.41 Zn.upf
ATOMIC_POSITIONS crystal
Ir 0.500 0.000 0.500
Ru 0.000 0.500 0.500
Zn 0.500 0.500 0.000
Zn 0.000 0.000 0.000
CELL_PARAMETERS angstrom
4.318 0.036 0.000
-0.038 4.318 0.000
0.000 0.000 2.994
```

Calculated values
The magnetic moment is 0.27 μB per atom. The energy relative to the elements comes out at 0.023 eV per atom. The value obtained for the mass density is 12.614 g/cm³. The total energy comes out at -20.595 eV per formula unit. The distance to the lowest polymorph of the same formula is 87 meV per atom.

***

No. 6
Here is an optimized crystal structure of BeBr3 from Alexandria via LeMat-Bulk. Energies are from PBE-GGA. Values from VASP.

```
&SYSTEM
  ibrav = 0, nat = 4, ntyp = 2
/
ATOMIC_SPECIES
Be 9.01 Be.upf
Br 79.90 Br.upf
ATOMIC_POSITIONS crystal
Be 0.500 0.500 0.500
Br 0.873 0.873 0.873
Br 0.000 0.000 0.000
Br 0.127 0.127 0.127
CELL_PARAMETERS angstrom
1.967 0.000 11.649
-0.983 1.703 11.649
-0.983 -1.703 11.649
```

Calculated values
The magnetic moment is 0.01 μB per atom. The value obtained for the mass density is 3.528 g/cm³. The uncorrected formation energy is -0.38 eV per atom. The total energy comes out at -10.262 eV per formula unit. The distance to the lowest polymorph of the same formula is 124 meV per atom.

***

No. 7
Here is an optimized crystal structure of Ca2YW from Alexandria via LeMat-Bulk. Energies are from PBE-GGA. Values from VASP.

```
&SYSTEM
  ibrav = 0, nat = 4, ntyp = 3
/
ATOMIC_SPECIES
Y 88.91 Y.upf
Ca 40.08 Ca.upf
W 183.84 W.upf
ATOMIC_POSITIONS crystal
Y 0.500 0.500 0.750
Ca 0.000 0.000 0.040
W 0.500 0.500 0.250
Ca 0.000 0.000 0.460
CELL_PARAMETERS angstrom
3.138 0.000 0.000
0.000 3.138 0.000
0.000 0.000 11.030
```

Calculated values
The magnetic moment is 0.00 μB per atom. The energy relative to the elements comes out at 0.747 eV per atom. The value obtained for the mass density is 5.395 g/cm³. The total energy comes out at -20.433 eV per formula unit. The distance to the lowest polymorph of the same formula is 150 meV per atom.

***

No. 8
Here is an optimized crystal structure of ReHg2Rh from Alexandria via LeMat-Bulk. Energies are from PBE-GGA. Values from VASP.

```
&SYSTEM
  ibrav = 0, nat = 4, ntyp = 3
/
ATOMIC_SPECIES
Re 186.21 Re.upf
Hg 200.59 Hg.upf
Rh 102.91 Rh.upf
ATOMIC_POSITIONS crystal
Re 0.500 0.500 0.500
Hg 0.000 0.500 0.000
Rh 0.000 0.000 0.500
Hg 0.500 0.000 0.000
CELL_PARAMETERS angstrom
4.862 0.000 0.000
0.000 4.862 0.000
0.000 0.000 2.964
```

Calculated values
The magnetic moment is 0.00 μB per atom. The energy relative to the elements comes out at 0.780 eV per atom. The value obtained for the mass density is 16.361 g/cm³. The total energy comes out at -17.284 eV per formula unit. The distance to the lowest polymorph of the same formula is 507 meV per atom.